The following is a PBE calculation of an optimized crystal structure of BaPt2W, from Alexandria.

Computed properties:
Polymorph energy (0 for the lowest one) (meV/atom): 645.0

Cell lengths 6.2629, 6.2629, 6.2629 Å; angles 152.80, 131.56, 56.44 degrees
Atoms (fractional coordinates):
1 W 0.5342 0.5342 0.0000
2 Pt 0.9765 0.9765 0.0000
3 Pt 0.7381 0.2381 0.5000
4 Ba 0.2512 0.7512 0.5000